No. 1
{
  "formula": "Pr6NdHo2",
  "functional": "PBE",
  "state": "optimized geometry",
  "relative_energy_mev_per_atom": 570,
  "formation_energy_mev_per_atom": 587.6,
  "lattice_angstrom": [[8.348, 0.000, 0.000], [0.000, 8.348, 0.000], [0.000, 0.000, 10.598]],
  "species": ["Pr", "Pr", "Pr", "Pr", "Pr", "Pr", "Pr", "Pr", "Pr", "Pr", "Pr", "Pr", "Nd", "Nd", "Ho", "Ho", "Ho", "Ho"],
  "frac_coords": [[0.238, 0.238, 0.000], [0.239, 0.239, 0.334], [0.239, 0.239, 0.666], [0.261, 0.739, 0.166], [0.261, 0.739, 0.834], [0.262, 0.738, 0.500], [0.738, 0.262, 0.500], [0.739, 0.261, 0.166], [0.739, 0.261, 0.834], [0.761, 0.761, 0.334], [0.761, 0.761, 0.666], [0.762, 0.762, 0.000], [0.000, 0.000, 0.500], [0.500, 0.500, 0.000], [0.000, 0.000, 0.165], [0.000, 0.000, 0.835], [0.500, 0.500, 0.335], [0.500, 0.500, 0.665]]
}



No. 2
{
  "formula": "Pr16Nd7Ho6",
  "functional": "PBE",
  "state": "optimized geometry",
  "formation_energy_mev_per_atom": 219.2,
  "lattice_angstrom": [[0.000, 8.107, 8.107], [8.107, 0.000, 8.107], [8.107, 8.107, 0.000]],
  "species": ["Pr", "Pr", "Pr", "Pr", "Pr", "Pr", "Pr", "Pr", "Pr", "Pr", "Pr", "Pr", "Pr", "Pr", "Pr", "Pr", "Nd", "Nd", "Nd", "Nd", "Nd", "Nd", "Nd", "Ho", "Ho", "Ho", "Ho", "Ho", "Ho"],
  "frac_coords": [[0.049, 0.650, 0.650], [0.125, 0.125, 0.125], [0.125, 0.125, 0.624], [0.125, 0.624, 0.125], [0.350, 0.350, 0.350], [0.350, 0.350, 0.951], [0.350, 0.951, 0.350], [0.376, 0.875, 0.875], [0.624, 0.125, 0.125], [0.650, 0.049, 0.650], [0.650, 0.650, 0.049], [0.650, 0.650, 0.650], [0.875, 0.376, 0.875], [0.875, 0.875, 0.376], [0.875, 0.875, 0.875], [0.951, 0.350, 0.350], [0.000, 0.000, 0.000], [0.000, 0.000, 0.500], [0.000, 0.500, 0.000], [0.000, 0.500, 0.500], [0.500, 0.000, 0.000], [0.500, 0.000, 0.500], [0.500, 0.500, 0.000], [0.263, 0.263, 0.737], [0.263, 0.737, 0.263], [0.263, 0.737, 0.737], [0.737, 0.263, 0.263], [0.737, 0.263, 0.737], [0.737, 0.737, 0.263]]
}



No. 3
{
  "formula": "Pr4NdHo8",
  "functional": "PBE",
  "state": "optimized geometry",
  "formation_energy_mev_per_atom": 523.1,
  "lattice_angstrom": [[7.843, 0.000, 0.000], [0.000, 7.843, 0.000], [0.000, 0.000, 7.843]],
  "species": ["Pr", "Pr", "Pr", "Pr", "Nd", "Ho", "Ho", "Ho", "Ho", "Ho", "Ho", "Ho", "Ho"],
  "frac_coords": [[0.000, 0.000, 0.000], [0.000, 0.500, 0.500], [0.500, 0.000, 0.500], [0.500, 0.500, 0.000], [0.500, 0.500, 0.500], [0.239, 0.239, 0.239], [0.239, 0.239, 0.761], [0.239, 0.761, 0.239], [0.239, 0.761, 0.761], [0.761, 0.239, 0.239], [0.761, 0.239, 0.761], [0.761, 0.761, 0.239], [0.761, 0.761, 0.761]]
}